[1]
The following is a DFT calculation (PBE) of a relaxed Tb7Pm16Pr6 crystal.

Unit cell a=11.373 b=11.373 c=11.373 alpha=60.00 beta=60.00 gamma=60.00
Sites, in units of the cell vectors:
Tb 0.000 0.000 0.000
Tb 0.500 0.000 0.500
Tb 0.500 0.500 0.000
Tb 0.000 0.000 0.500
Tb 0.000 0.500 0.500
Tb 0.500 0.000 0.000
Tb 0.000 0.500 0.000
Pm 0.046 0.651 0.651
Pm 0.621 0.126 0.126
Pm 0.874 0.874 0.379
Pm 0.349 0.954 0.349
Pm 0.379 0.874 0.874
Pm 0.126 0.126 0.126
Pm 0.126 0.126 0.621
Pm 0.954 0.349 0.349
Pm 0.349 0.349 0.349
Pm 0.126 0.621 0.126
Pm 0.651 0.651 0.651
Pm 0.874 0.874 0.874
Pm 0.874 0.379 0.874
Pm 0.651 0.046 0.651
Pm 0.651 0.651 0.046
Pm 0.349 0.349 0.954
Pr 0.728 0.728 0.272
Pr 0.272 0.272 0.728
Pr 0.728 0.272 0.728
Pr 0.728 0.272 0.272
Pr 0.272 0.728 0.272
Pr 0.272 0.728 0.728

Properties
calculated volume = 1040 Å³ per cell
ΔH_f (0 K) = 0.207 eV per atom
space group = Fm-3m

[2]
The following is a DFT calculation (PBE) of a relaxed TiVTcW crystal.

Unit cell a=4.387 b=4.387 c=4.387 alpha=60.00 beta=60.00 gamma=60.00
Sites, in units of the cell vectors:
W 0.250 0.250 0.250
V 0.000 0.000 0.000
Ti 0.750 0.750 0.750
Tc 0.500 0.500 0.500

Properties
calculated volume = 60 Å³ per cell
distance to the lowest polymorph of the same formula = 0 meV per atom
ΔH_f (0 K) = -0.234 eV per atom
space group = F-43m

[3]
The following is a DFT calculation (PBE) of a relaxed La2Tl2S crystal.

Unit cell a=7.702 b=7.702 c=5.403 alpha=90.00 beta=90.00 gamma=90.00
Sites, in units of the cell vectors:
S 0.000 0.000 0.000
S 0.500 0.500 0.000
Tl 0.643 0.857 0.500
Tl 0.143 0.643 0.500
Tl 0.357 0.143 0.500
Tl 0.857 0.357 0.500
La 0.831 0.669 0.000
La 0.169 0.331 0.000
La 0.669 0.169 0.000
La 0.331 0.831 0.000

Properties
E_form (uncorrected) = -821.8 meV/atom
calculated volume = 321 Å³ per cell
space group = P4/mbm

[4]
The following is a DFT calculation (PBE) of a relaxed Pr4Er2Sc crystal.

Unit cell a=6.873 b=6.873 c=10.546 alpha=90.00 beta=90.00 gamma=102.74
Sites, in units of the cell vectors:
Sc 0.500 0.500 0.750
Sc 0.500 0.500 0.250
Pr 0.200 0.199 0.000
Pr 0.000 0.500 0.750
Pr 0.500 0.000 0.750
Pr 0.000 0.500 0.250
Pr 0.801 0.800 0.500
Pr 0.800 0.801 0.000
Pr 0.199 0.200 0.500
Pr 0.500 0.000 0.250
Er 0.699 0.300 0.500
Er 0.700 0.301 0.000
Er 0.300 0.699 0.000
Er 0.301 0.700 0.500

Properties
calculated volume = 486 Å³ per cell
distance to the lowest polymorph of the same formula = 149 meV per atom
ΔH_f (0 K) = 0.184 eV per atom
space group = Cmmm

Results for total magnetization: 0.00; 0.00; 0.00; 0.00 (in μB per atom, following the order of the records).